This record from Alexandria describes crystalline SbWNF2 at its relaxed geometry. The functional is PBE with a Hubbard U.

a = 4.3062 Å, b = 4.3062 Å, c = 4.1529 Å
α = 90.00°, β = 90.00°, γ = 90.00°
Space group P4/mmm (No. 123)
One atom of each set of equivalent atoms:
Sb: 0.0000 0.0000 0.0000 x1
W: 0.5000 0.5000 0.5000 x1
N: 0.5000 0.5000 0.0000 x1
F: 0.0000 0.5000 0.5000 x2

Properties
- D(E_F) (states/eV per cell) = 2.49
- energy above the lowest structure with this stoichiometry (meV/atom) = 0
- uncorrected energy (eV for the cell shown) = -26.52